A plane-wave DFT calculation with PBE was carried out for a relaxed TiSi3Ru crystal.

Results
The value obtained for the total magnetization is 0.00 μB/atom. The value obtained for the uncorrected formation energy is 3.23 eV/f.u. The density of states at the Fermi level is 2.535 states/eV/atom. For the calculated total energy, the calculation gives -6.042 eV/atom. The energy relative to the lowest polymorph listed for this composition comes out at 0 meV/atom.

a = 4.559 Å, b = 4.559 Å, c = 4.559 Å
α = 90.00°, β = 90.00°, γ = 90.00°
Element x y z (fractional)
Ru 0.000 0.000 0.000
Si 0.000 0.500 0.000
Si 0.000 0.000 0.500
Si 0.500 0.000 0.000
Ti 0.500 0.500 0.500

=====

A plane-wave DFT calculation with PBE was carried out for a relaxed Ti2Si2Ru crystal.

Results
The value obtained for the total magnetization is 0.00 μB/atom. The value obtained for the uncorrected formation energy is -3.98 eV/f.u. The density of states at the Fermi level is 0.725 states/eV/atom. For the calculated total energy, the calculation gives -7.978 eV/atom.

a = 6.198 Å, b = 6.198 Å, c = 3.819 Å
α = 90.00°, β = 90.00°, γ = 90.00°
Element x y z (fractional)
Ru 0.000 0.000 0.000
Ru 0.500 0.500 0.000
Si 0.363 0.863 0.000
Si 0.863 0.637 0.000
Si 0.637 0.137 0.000
Si 0.137 0.363 0.000
Ti 0.168 0.668 0.500
Ti 0.668 0.832 0.500
Ti 0.832 0.332 0.500
Ti 0.332 0.168 0.500

=====

Number 1 is which compound? TiSi3Ru

=====

What did the first record say?
A plane-wave DFT calculation with PBE was carried out for a relaxed TiSi3Ru crystal.

Results
The value obtained for the total magnetization is 0.00 μB/atom. The value obtained for the uncorrected formation energy is 3.23 eV/f.u. The density of states at the Fermi level is 2.535 states/eV/atom. For the calculated total energy, the calculation gives -6.042 eV/atom. The energy relative to the lowest polymorph listed for this composition comes out at 0 meV/atom.

a = 4.559 Å, b = 4.559 Å, c = 4.559 Å
α = 90.00°, β = 90.00°, γ = 90.00°
Element x y z (fractional)
Ru 0.000 0.000 0.000
Si 0.000 0.500 0.000
Si 0.000 0.000 0.500
Si 0.500 0.000 0.000
Ti 0.500 0.500 0.500